# 1
First-principles (PBE-GGA) data for an optimized crystal structure of PCSe, as listed in the Alexandria database.

* uncorrected formation energy: 0.37 eV/atom
* offset from the most stable computed form: 0.000 eV/f.u.
* E_tot: -5.67 eV/atom
* calculated density: 3.20 g cm⁻³

```
data_PCSe
_cell_length_a 4.405
_cell_length_b 5.530
_cell_length_c 5.814
_cell_angle_alpha 79.13
_cell_angle_beta 67.93
_cell_angle_gamma 76.07
_space_group_name_H-M_alt 'P -1'
_space_group_IT_number 2
loop_
_space_group_symop_operation_xyz
'x,y,z'
'-x,-y,-z'
loop_
_atom_site_label
_atom_site_type_symbol
_atom_site_fract_x
_atom_site_fract_y
_atom_site_fract_z
_atom_site_occupancy
P1 P 0.040 0.419 0.324 1
C1 C 0.423 0.533 0.118 1
Se1 Se 0.360 0.263 0.773 1
```

=====

# 2
First-principles (PBE-GGA) data for an optimized crystal structure of HfTlAsSe2, as listed in the Alexandria database.

* uncorrected formation energy: 0.92 eV/atom
* offset from the most stable computed form: 6.866 eV/f.u.
* E_tot: -3.87 eV/atom
* calculated density: 7.30 g cm⁻³

```
data_HfTlAsSe2
_cell_length_a 5.219
_cell_length_b 5.219
_cell_length_c 5.141
_cell_angle_alpha 90.00
_cell_angle_beta 90.00
_cell_angle_gamma 90.00
_space_group_name_H-M_alt 'P 4/m m m'
_space_group_IT_number 123
_space_group_name_Hall '-P 4 2'
loop_
_atom_site_label
_atom_site_type_symbol
_atom_site_fract_x
_atom_site_fract_y
_atom_site_fract_z
_atom_site_occupancy
Hf1 Hf 0.000 0.000 0.000 1
Tl1 Tl 0.500 0.500 0.500 1
As1 As 0.500 0.500 0.000 1
Se1 Se 0.000 0.500 0.500 1
```

=====

# 3
First-principles (PBE-GGA) data for an optimized crystal structure of CaLaPt2, as listed in the Alexandria database.

* formation energy: -4.2 eV/f.u.
* E_tot: -5.79 eV/atom
* calculated density: 10.32 g cm⁻³

```
data_CaLaPt2
_cell_length_a 5.063
_cell_length_b 5.063
_cell_length_c 3.572
_cell_angle_alpha 90.00
_cell_angle_beta 90.00
_cell_angle_gamma 90.00
_space_group_name_H-M_alt 'P 4/m m m'
_space_group_IT_number 123
_space_group_name_Hall '-P 4 2'
loop_
_atom_site_label
_atom_site_type_symbol
_atom_site_fract_x
_atom_site_fract_y
_atom_site_fract_z
_atom_site_occupancy
Ca1 Ca 0.000 0.000 0.000 1
La1 La 0.500 0.500 0.000 1
Pt1 Pt 0.000 0.500 0.500 1
```